The following is a GGA-PBE calculation of a relaxed structure of La2YCd2In2, from Alexandria via LeMat-Bulk.

Unit cell a=4.9699 b=4.9699 c=9.7605 alpha=75.25 beta=75.25 gamma=60.00
Closest atoms and distances in Å follow each position.
Atoms (fractional coordinates):
La  0.1292  0.1292  0.6123  3 In 3.34, 3 Cd 3.49, 3 La 3.55, 1 Y 3.62
La  0.8708  0.8708  0.3877  3 In 3.34, 3 Cd 3.49, 3 La 3.55, 1 Y 3.62
Y  0.0000  0.0000  0.0000  6 Cd 3.30, 6 In 3.45, 2 La 3.62
Cd  0.6082  0.6082  0.1755  3 In 2.88
Cd  0.3918  0.3918  0.8245  3 In 2.88
In  0.7348  0.7348  0.7956  3 Cd 2.88
In  0.2652  0.2652  0.2044  3 Cd 2.88

Calculated values
**Crystal system**: trigonal
**Spin magnetization**: 0.000 μB per atom
**ΔE_f**: -0.3107 eV/atom